Entry 1:
Material: Li2ScRu
Method: DFT, PBE-GGA
State: relaxed Values from VASP.

Geometry as Quantum ESPRESSO input:
```
&SYSTEM
  ibrav = 0, nat = 4, ntyp = 3
/
ATOMIC_SPECIES
Sc 44.96 Sc.upf
Li 6.94 Li.upf
Ru 101.07 Ru.upf
CELL_PARAMETERS angstrom
-3.3555 -2.0619 1.7335
4.9012 -2.6228 1.2920
0.6228 0.9447 2.8598
ATOMIC_POSITIONS crystal
Sc 0.5000 0.5000 0.0000
Li 0.0000 0.0000 0.0000
Li 0.5000 0.0000 0.5000
Ru 0.0000 0.5000 0.5000
```

Calculated values
- Space group: C2/m (12)
- V: 67.4 Å³/cell
- Energy above the lowest structure with this stoichiometry: 98 meV per atom

Entry 2:
Material: LiSc4Ru
Method: DFT, PBE-GGA
State: relaxed Values from VASP.

Geometry as Quantum ESPRESSO input:
```
&SYSTEM
  ibrav = 0, nat = 6, ntyp = 3
/
ATOMIC_SPECIES
Sc 44.96 Sc.upf
Ru 101.07 Ru.upf
Li 6.94 Li.upf
CELL_PARAMETERS angstrom
0.0000 3.9856 3.9856
3.9856 0.0000 3.9856
3.9856 3.9856 0.0000
ATOMIC_POSITIONS crystal
Sc 0.3725 0.3725 0.3725
Ru 0.0000 0.0000 0.0000
Sc 0.3725 0.3725 0.8826
Sc 0.3725 0.8826 0.3725
Li 0.7500 0.7500 0.7500
Sc 0.8826 0.3725 0.3725
```

Calculated values
- Space group: F-43m (216)
- V: 126.6 Å³/cell

Entry 3:
Material: LiSc3Sn3Ru2
Method: DFT, PBE-GGA
State: relaxed Values from VASP.

Geometry as Quantum ESPRESSO input:
```
&SYSTEM
  ibrav = 0, nat = 9, ntyp = 4
/
ATOMIC_SPECIES
Sc 44.96 Sc.upf
Sn 118.71 Sn.upf
Li 6.94 Li.upf
Ru 101.07 Ru.upf
CELL_PARAMETERS angstrom
-1.7971 1.0898 2.5947
-5.4556 -5.1555 -1.6132
5.7412 -1.8455 4.7516
ATOMIC_POSITIONS crystal
Sc 0.0000 0.0000 0.3923
Sn 0.5000 0.7166 0.0000
Sn 0.5000 0.2834 0.2834
Li 0.0000 0.0000 0.0000
Ru 0.5000 0.3333 0.6667
Sc 0.0000 0.3923 0.0000
Ru 0.5000 0.6667 0.3333
Sc 0.0000 0.6077 0.6077
Sn 0.5000 0.0000 0.7166
```

Calculated values
- Space group: P-62m (189)
- V: 170.5 Å³/cell

VASP energy in eV/atom, matching the order above: -4.829 -5.544 -6.239
Spin magnetization in μB/f.u., matching the order above: 0.326 0.001 0.000